The following is a DFT calculation (PBE) of a relaxed structure of ErAgHg2.

The structure belongs to space group P4/mmm (No. 123); the cell edges are 4.5416, 4.5416 and 4.4571 Å and the angles 90.00°, 90.00° and 90.00°. The distinct sites, in fractional coordinates, are Er at (0.0000, 0.0000, 0.0000), Ag at (0.5000, 0.5000, 0.0000) and Hg at (0.0000, 0.5000, 0.5000).

The total DFT energy (no corrections) is -2.242 eV/atom. The calculation puts the magnetic moment at 0.00 μB per atom. The calculation puts the calculated density at 12.216 g cm⁻³. The value obtained for the formation energy is -0.2371 eV/atom.



The following is a DFT calculation (PBE) of a relaxed structure of Er4AgHg2.

The structure belongs to space group R-3m (No. 166, hexagonal axes); the cell edges are 5.1111, 5.1111 and 24.9924 Å and the angles 90.00°, 90.00° and 120.00°. The distinct sites, in fractional coordinates, are Er at (0.0000, 0.0000, 0.1235), Er at (0.0000, 0.0000, 0.3742), Ag at (0.0000, 0.0000, 0.5000) and Hg at (0.0000, 0.0000, 0.2524).

The total DFT energy (no corrections) is -3.373 eV/atom. The calculation puts the magnetic moment at 0.00 μB per atom. The calculation puts the calculated density at 10.380 g cm⁻³. The value obtained for the formation energy is -0.2723 eV/atom.



The following is a DFT calculation (PBE) of a relaxed structure of Er4AgHg5.

The structure belongs to space group P4/mmm (No. 123); the cell edges are 3.6643, 3.6643 and 17.9219 Å and the angles 90.00°, 90.00° and 90.00°. The distinct sites, in fractional coordinates, are Er at (0.0000, 0.0000, 0.1040), Er at (0.0000, 0.0000, 0.3116), Ag at (0.0000, 0.0000, 0.5000), Hg at (0.5000, 0.5000, 0.0000), Hg at (0.5000, 0.5000, 0.2048) and Hg at (0.5000, 0.5000, 0.4094).

The total DFT energy (no corrections) is -2.647 eV/atom. The calculation puts the magnetic moment at 0.00 μB per atom. The calculation puts the calculated density at 12.282 g cm⁻³. The value obtained for the formation energy is -0.3863 eV/atom.



The following is a DFT calculation (PBE) of a relaxed structure of ErAg12Hg6.

The structure belongs to space group R-3m (No. 166, hexagonal axes); the cell edges are 11.7854, 11.7854 and 9.8731 Å and the angles 90.00°, 90.00° and 120.00°. The distinct sites, in fractional coordinates, are Er at (0.0000, 0.0000, 0.0000), Ag at (0.0000, 0.2633, 0.0000), Ag at (0.0607, 0.5304, 0.1265) and Hg at (0.0874, 0.1747, 0.7447).

The total DFT energy (no corrections) is -2.106 eV/atom. The calculation puts the magnetic moment at 0.00 μB per atom. The calculation puts the calculated density at 11.180 g cm⁻³. The value obtained for the formation energy is 0.0307 eV/atom.



The following is a DFT calculation (PBE) of a relaxed structure of Er5Ag4Hg.

The structure belongs to space group P4/mmm (No. 123); the cell edges are 3.6128, 3.6128 and 18.1962 Å and the angles 90.00°, 90.00° and 90.00°. The distinct sites, in fractional coordinates, are Er at (0.0000, 0.0000, 0.0000), Er at (0.0000, 0.0000, 0.1992), Er at (0.0000, 0.0000, 0.3969), Ag at (0.5000, 0.5000, 0.0993), Ag at (0.5000, 0.5000, 0.2979) and Hg at (0.5000, 0.5000, 0.5000).

The total DFT energy (no corrections) is -3.817 eV/atom. The calculation puts the magnetic moment at 0.00 μB per atom. The calculation puts the calculated density at 10.266 g cm⁻³. The value obtained for the formation energy is -0.3649 eV/atom.



The following is a DFT calculation (PBE) of a relaxed structure of ErAgHg6.

The structure belongs to space group R-3m (No. 166, hexagonal axes); the cell edges are 8.0466, 8.0466 and 11.6037 Å and the angles 90.00°, 90.00° and 120.00°. The distinct sites, in fractional coordinates, are Er at (0.0000, 0.0000, 0.0000), Ag at (0.0000, 0.0000, 0.5000) and Hg at (0.0781, 0.5391, 0.8841).

The total DFT energy (no corrections) is -1.084 eV/atom. The calculation puts the magnetic moment at 0.00 μB per atom. The calculation puts the calculated density at 11.321 g cm⁻³. The value obtained for the formation energy is 0.0695 eV/atom.



The following is a DFT calculation (PBE) of a relaxed structure of ErAgHg.

The structure belongs to space group F-43m (No. 216); the cell edges are 6.7429, 6.7429 and 6.7429 Å and the angles 90.00°, 90.00° and 90.00°. The distinct sites, in fractional coordinates, are Er at (0.0000, 0.0000, 0.0000), Ag at (0.2500, 0.2500, 0.2500) and Hg at (0.0000, 0.0000, 0.5000).

The total DFT energy (no corrections) is -2.741 eV/atom. The calculation puts the magnetic moment at 0.00 μB per atom. The calculation puts the calculated density at 10.307 g cm⁻³. The value obtained for the formation energy is -0.1686 eV/atom.



The following is a DFT calculation (PBE) of a relaxed structure of ErAg3Hg3.

The structure belongs to space group Pm-3n (No. 223); the cell edges are 7.5891, 7.5891 and 7.5891 Å and the angles 90.00°, 90.00° and 90.00°. The distinct sites, in fractional coordinates, are Er at (0.0000, 0.0000, 0.0000), Ag at (0.0000, 0.2500, 0.5000) and Hg at (0.0000, 0.5000, 0.2500).

The total DFT energy (no corrections) is -1.454 eV/atom. The polymorph energy (0 for the lowest one) is 0.618 eV per atom. The calculation puts the magnetic moment at 0.00 μB per atom. The calculation puts the calculated density at 8.302 g cm⁻³. The value obtained for the formation energy is 0.5490 eV/atom.



The following is a DFT calculation (PBE) of a relaxed structure of ErAgHg.

The structure belongs to space group I4mm (No. 107); the cell edges are 3.7992, 3.7992 and 9.3810 Å and the angles 90.00°, 90.00° and 90.00°. The distinct sites, in fractional coordinates, are Er at (0.0000, 0.0000, 0.0000), Ag at (0.0000, 0.0000, 0.6679) and Hg at (0.0000, 0.0000, 0.3291).

The total DFT energy (no corrections) is -2.907 eV/atom. The calculation puts the magnetic moment at 0.00 μB per atom. The calculation puts the calculated density at 11.668 g cm⁻³. The value obtained for the formation energy is -0.3352 eV/atom.



The following is a DFT calculation (PBE) of a relaxed structure of Er3AgHg12.

The structure belongs to space group P4/mmm (No. 123); the cell edges are 4.5247, 4.5247 and 18.4419 Å and the angles 90.00°, 90.00° and 90.00°. The distinct sites, in fractional coordinates, are Er at (0.0000, 0.0000, 0.0000), Er at (0.0000, 0.0000, 0.2622), Ag at (0.0000, 0.0000, 0.5000), Hg at (0.0000, 0.5000, 0.1281), Hg at (0.0000, 0.5000, 0.3810), Hg at (0.5000, 0.5000, 0.0000), Hg at (0.5000, 0.5000, 0.2534) and Hg at (0.5000, 0.5000, 0.5000).

The total DFT energy (no corrections) is -1.474 eV/atom. The calculation puts the magnetic moment at 0.00 μB per atom. The calculation puts the calculated density at 13.268 g cm⁻³. The value obtained for the formation energy is -0.2136 eV/atom.



The following is a DFT calculation (PBE) of a relaxed structure of Er3Ag7Hg2.

The structure belongs to space group P2/m (No. 10); the cell edges are 4.4294, 3.7725 and 16.0272 Å and the angles 90.00°, 97.82° and 90.00°. The distinct sites, in fractional coordinates, are Er at (0.0000, 0.0000, 0.0000), Er at (0.3196, 0.5000, 0.6307), Ag at (0.0585, 0.5000, 0.1448), Ag at (0.2266, 0.0000, 0.4528), Ag at (0.4348, 0.0000, 0.8480), Ag at (0.5000, 0.5000, 0.0000) and Hg at (0.1319, 0.0000, 0.2797).

The total DFT energy (no corrections) is -2.980 eV/atom. The calculation puts the magnetic moment at 0.00 μB per atom. The calculation puts the calculated density at 10.377 g cm⁻³. The value obtained for the formation energy is -0.1262 eV/atom.



The following is a DFT calculation (PBE) of a relaxed structure of Er5AgHg6.

The structure belongs to space group C2/m (No. 12); the cell edges are 16.2784, 7.3716 and 5.1088 Å and the angles 90.00°, 108.20° and 90.00°. The distinct sites, in fractional coordinates, are Er at (0.0000, 0.0000, 0.0000), Er at (0.1577, 0.5000, 0.6575), Er at (0.1702, 0.0000, 0.6699), Ag at (0.0000, 0.5000, 0.0000), Hg at (0.0000, 0.2455, 0.5000) and Hg at (0.1651, 0.2530, 0.1648).

The total DFT energy (no corrections) is -2.702 eV/atom. The calculation puts the magnetic moment at 0.00 μB per atom. The calculation puts the calculated density at 12.248 g cm⁻³. The value obtained for the formation energy is -0.4118 eV/atom.



The following is a DFT calculation (PBE) of a relaxed structure of Er2AgHg.

The structure belongs to space group P4/mmm (No. 123); the cell edges are 5.1597, 5.1597 and 3.6500 Å and the angles 90.00°, 90.00° and 90.00°. The distinct sites, in fractional coordinates, are Er at (0.0000, 0.5000, 0.0000), Ag at (0.0000, 0.0000, 0.5000) and Hg at (0.5000, 0.5000, 0.5000).

The total DFT energy (no corrections) is -3.481 eV/atom. The calculation puts the magnetic moment at 0.00 μB per atom. The calculation puts the calculated density at 10.988 g cm⁻³. The value obtained for the formation energy is -0.4113 eV/atom.



The following is a DFT calculation (PBE) of a relaxed structure of Er3AgHg.

The structure belongs to space group Cmcm (No. 63); the cell edges are 5.1365, 19.5326 and 5.1361 Å and the angles 90.00°, 90.00° and 90.00°. The distinct sites, in fractional coordinates, are Er at (0.0000, 0.0635, 0.2500), Er at (0.0000, 0.2505, 0.2500), Er at (0.0000, 0.4375, 0.2500), Ag at (0.0000, 0.1578, 0.7500) and Hg at (0.0000, 0.3444, 0.7500).

The total DFT energy (no corrections) is -3.670 eV/atom. The polymorph energy (0 for the lowest one) is 0.000 eV per atom. The calculation puts the magnetic moment at 0.09 μB per atom. The calculation puts the calculated density at 10.444 g cm⁻³. The value obtained for the formation energy is -0.3017 eV/atom.



The following is a DFT calculation (PBE) of a relaxed structure of ErAgHg.

The structure belongs to space group P-6m2 (No. 187); the cell edges are 4.8580, 4.8580 and 3.3175 Å and the angles 90.00°, 90.00° and 120.00°. The distinct sites, in fractional coordinates, are Er at (0.0000, 0.0000, 0.0000), Ag at (0.3333, 0.6667, 0.5000) and Hg at (0.6667, 0.3333, 0.5000).

The total DFT energy (no corrections) is -2.909 eV/atom. The calculation puts the magnetic moment at 0.00 μB per atom. The calculation puts the calculated density at 11.651 g cm⁻³. The value obtained for the formation energy is -0.3372 eV/atom.



The following is a DFT calculation (PBE) of a relaxed structure of Er6Ag3Hg.

The structure belongs to space group P2_1/m (No. 11); the cell edges are 9.1643, 4.9491 and 11.8306 Å and the angles 90.00°, 106.30° and 90.00°. The distinct sites, in fractional coordinates, are Er at (0.0152, 0.2500, 0.1137), Er at (0.1477, 0.2500, 0.7164), Er at (0.2162, 0.7500, 0.5224), Er at (0.3424, 0.7500, 0.1154), Er at (0.3746, 0.2500, 0.3580), Er at (0.3892, 0.7500, 0.8464), Ag at (0.0453, 0.2500, 0.3714), Ag at (0.1601, 0.7500, 0.2695), Ag at (0.2718, 0.2500, 0.9750) and Hg at (0.4291, 0.2500, 0.6387).

The total DFT energy (no corrections) is -3.870 eV/atom. The calculation puts the magnetic moment at 0.00 μB per atom. The calculation puts the calculated density at 9.852 g cm⁻³. The value obtained for the formation energy is -0.2472 eV/atom.



The following is a DFT calculation (PBE) of a relaxed structure of ErAgHg2.

The structure belongs to space group Fm-3m (No. 225); the cell edges are 7.0559, 7.0559 and 7.0559 Å and the angles 90.00°, 90.00° and 90.00°. The distinct sites, in fractional coordinates, are Er at (0.0000, 0.0000, 0.0000), Ag at (0.0000, 0.0000, 0.5000) and Hg at (0.2500, 0.2500, 0.2500).

The total DFT energy (no corrections) is -2.325 eV/atom. The calculation puts the magnetic moment at 0.00 μB per atom. The calculation puts the calculated density at 12.788 g cm⁻³. The value obtained for the formation energy is -0.3204 eV/atom.



The following is a DFT calculation (PBE) of a relaxed structure of Er2AgHg6.

The structure belongs to space group P4_2/mnm (No. 136); the cell edges are 9.3727, 9.3727 and 4.7411 Å and the angles 90.00°, 90.00° and 90.00°. The distinct sites, in fractional coordinates, are Er at (0.1865, 0.1865, 0.0000), Ag at (0.0000, 0.0000, 0.5000), Hg at (0.0229, 0.3327, 0.5000) and Hg at (0.1453, 0.8547, 0.0000).

The total DFT energy (no corrections) is -1.780 eV/atom. The polymorph energy (0 for the lowest one) is 0.000 eV per atom. The calculation puts the magnetic moment at 0.00 μB per atom. The calculation puts the calculated density at 13.125 g cm⁻³. The value obtained for the formation energy is -0.2477 eV/atom.



The following is a DFT calculation (PBE) of a relaxed structure of ErAg3Hg3.

The structure belongs to space group R-3 (No. 148, hexagonal axes); the cell edges are 7.2510, 7.2510 and 20.8118 Å and the angles 90.00°, 90.00° and 120.00°. The distinct sites, in fractional coordinates, are Er at (0.0000, 0.0000, 0.1711), Ag at (0.0457, 0.2644, 0.7037) and Hg at (0.0311, 0.2612, 0.5632).

The total DFT energy (no corrections) is -2.072 eV/atom. The polymorph energy (0 for the lowest one) is 0.000 eV per atom. The calculation puts the magnetic moment at 0.00 μB per atom. The calculation puts the calculated density at 11.488 g cm⁻³. The value obtained for the formation energy is -0.0692 eV/atom.



The following is a DFT calculation (PBE) of a relaxed structure of ErAgHg4.

The structure belongs to space group C2/m (No. 12); the cell edges are 9.2815, 3.8051 and 9.4650 Å and the angles 90.00°, 116.84° and 90.00°. The distinct sites, in fractional coordinates, are Er at (0.0000, 0.0000, 0.0000), Ag at (0.0000, 0.5000, 0.5000), Hg at (0.1439, 0.0000, 0.3608) and Hg at (0.2117, 0.0000, 0.8136).

The total DFT energy (no corrections) is -1.517 eV/atom. The polymorph energy (0 for the lowest one) is 0.065 eV per atom. The calculation puts the magnetic moment at 0.00 μB per atom. The calculation puts the calculated density at 11.997 g cm⁻³. The value obtained for the formation energy is -0.0800 eV/atom.